An optimized crystal structure of ErPu5Ge6. Source: the Alexandria database, functional PBE.

Results
total energy	-109.1	eV for the cell shown
energy relative to the elements	-0.433	eV/atom

abc: 5.3780 8.1987 8.8933
angles: 62.62 72.51 49.01
Element x y z (fractional)
Er: 0.0000 0.0000 0.0000
Pu: 0.5001 0.1802 0.6393
Pu: 0.9999 0.3496 0.3002
Pu: 0.5000 0.5000 0.0000
Pu: 0.0001 0.6504 0.6998
Pu: 0.4999 0.8198 0.3607
Ge: 0.7783 0.0543 0.3348
Ge: 0.2216 0.6108 0.3349
Ge: 0.2896 0.2106 0.9999
Ge: 0.7104 0.7894 0.0001
Ge: 0.7784 0.3892 0.6651
Ge: 0.2217 0.9457 0.6652


An optimized crystal structure of CaPuIr4. Source: the Alexandria database, functional PBE.

Results
total energy	-54.9	eV for the cell shown
energy relative to the elements	-0.514	eV/atom

abc: 5.3603 5.3603 5.3603
angles: 60.00 60.00 60.00
Element x y z (fractional)
Ca: 0.2500 0.2500 0.2500
Ir: 0.6248 0.6248 0.1255
Ir: 0.6248 0.1255 0.6248
Ir: 0.6248 0.6248 0.6248
Ir: 0.1255 0.6248 0.6248
Pu: 0.0000 0.0000 0.0000


An optimized crystal structure of ZrReAs2. Source: the Alexandria database, functional PBE.

Results
total energy	-30.3	eV for the cell shown
excess energy over the best structure of this formula in the dataset	0.401	eV per atom
energy relative to the elements	-0.004	eV/atom

abc: 8.3880 8.3880 8.3880
angles: 21.70 21.70 21.70
Element x y z (fractional)
Re: 0.2500 0.2500 0.2500
As: 0.9903 0.9903 0.9903
As: 0.5097 0.5097 0.5097
Zr: 0.7500 0.7500 0.7500


An optimized crystal structure of YZr2BrCl. Source: the Alexandria database, functional PBE.

Results
total energy	-23.7	eV for the cell shown
excess energy over the best structure of this formula in the dataset	0.618	eV per atom
formation energy from raw total energies	0.677	eV/atom

abc: 5.4429 5.2226 5.4429
angles: 90.00 90.00 90.00
Element x y z (fractional)
Y: 0.0000 0.0000 0.0000
Br: 0.5000 0.5000 0.5000
Zr: 0.0000 0.0000 0.5000
Zr: 0.5000 0.0000 0.0000
Cl: 0.0000 0.5000 0.0000